Computed, not measured: a relaxed AgPd3O6 crystal at the PBE level of DFT.

## Properties
VASP energy = -51.62 eV/f.u.
crystal system = orthorhombic

```
data_AgPd3O6
_symmetry_space_group_name_H-M 'C m m m'
_symmetry_Int_Tables_number 65
_symmetry_space_group_name_Hall '-C 2 2'
_cell_length_a 7.258
_cell_length_b 10.208
_cell_length_c 3.119
_cell_angle_alpha 90.00
_cell_angle_beta 90.00
_cell_angle_gamma 90.00
loop_
_atom_site_label
_atom_site_fract_x
_atom_site_fract_y
_atom_site_fract_z
Ag1 0.000 0.000 0.000
Pd1 0.000 0.500 0.000
Pd2 0.250 0.250 0.500
O1 0.000 0.158 0.500
O2 0.204 0.372 0.000
```